[1]
Below is an optimized crystal structure of KPu3P4N12, with properties calculated at the PBE level.

## Properties
Fermi-level density of states in states/eV per cell: 41.84
Uncorrected formation energy in eV/atom: -0.428
M_tot in μB per formula unit: 9.000

Geometry as CIF:
```
data_KPu3P4N12
_symmetry_space_group_name_H-M 'R 3 2'
_symmetry_Int_Tables_number 155
_symmetry_space_group_name_Hall 'R 3 2"'
_cell_length_a 10.8474
_cell_length_b 10.8474
_cell_length_c 8.8973
_cell_angle_alpha 90.00
_cell_angle_beta 90.00
_cell_angle_gamma 120.00
loop_
_atom_site_label
_atom_site_type_symbol
_atom_site_fract_x
_atom_site_fract_y
_atom_site_fract_z
_atom_site_occupancy
K1 K 0.0000 0.0000 0.0000 1
Pu1 Pu 0.0000 0.5542 0.0000 1
P1 P 0.0000 0.0000 0.5000 1
P2 P 0.0000 0.4440 0.5000 1
N1 N 0.0000 0.5917 0.5000 1
N2 N 0.0000 0.8537 0.5000 1
N3 N 0.0298 0.2199 0.2029 1
```

[2]
Below is an optimized crystal structure of TlCd3Cu4Cl12, with properties calculated at the PBE level.

## Properties
Fermi-level density of states in states/eV per cell: 29.12
Uncorrected formation energy in eV/atom: -0.775
M_tot in μB per formula unit: 1.138

Geometry as CIF:
```
data_TlCd3Cu4Cl12
_symmetry_space_group_name_H-M 'R 3 2'
_symmetry_Int_Tables_number 155
_symmetry_space_group_name_Hall 'R 3 2"'
_cell_length_a 13.7954
_cell_length_b 13.7954
_cell_length_c 10.0832
_cell_angle_alpha 90.00
_cell_angle_beta 90.00
_cell_angle_gamma 120.00
loop_
_atom_site_label
_atom_site_type_symbol
_atom_site_fract_x
_atom_site_fract_y
_atom_site_fract_z
_atom_site_occupancy
Tl1 Tl 0.0000 0.0000 0.0000 1
Cd1 Cd 0.0000 0.5657 0.0000 1
Cu1 Cu 0.0000 0.0000 0.5000 1
Cu2 Cu 0.0000 0.4210 0.5000 1
Cl1 Cl 0.0000 0.5885 0.5000 1
Cl2 Cl 0.0000 0.8388 0.5000 1
Cl3 Cl 0.0507 0.2122 0.1911 1
```

[3]
Below is an optimized crystal structure of Sc2ZnPd, with properties calculated at the PBE level.

## Properties
Fermi-level density of states in states/eV per cell: 7.74
Calculated formation energy in meV/atom: 125
M_tot in μB per formula unit: 0.000

Geometry as CIF:
```
data_Sc2ZnPd
_symmetry_space_group_name_H-M 'I m m m'
_symmetry_Int_Tables_number 71
_symmetry_space_group_name_Hall '-I 2 2'
_cell_length_a 2.978
_cell_length_b 4.893
_cell_length_c 11.145
_cell_angle_alpha 90.00
_cell_angle_beta 90.00
_cell_angle_gamma 90.00
loop_
_atom_site_label
_atom_site_type_symbol
_atom_site_fract_x
_atom_site_fract_y
_atom_site_fract_z
_atom_site_occupancy
Sc1 Sc 0.000 0.000 0.227 1
Zn1 Zn 0.000 0.000 0.500 1
Pd1 Pd 0.000 0.000 0.000 1
```

[4]
Below is an optimized crystal structure of Cr2TcTe, with properties calculated at the PBE level.

## Properties
Fermi-level density of states in states/eV per cell: 9.84
Uncorrected formation energy in eV/atom: 0.422
M_tot in μB per formula unit: 3.239

Geometry as CIF:
```
data_Cr2TcTe
_symmetry_space_group_name_H-M 'I -4 m 2'
_symmetry_Int_Tables_number 119
_symmetry_space_group_name_Hall 'I -4 -2'
_cell_length_a 3.848
_cell_length_b 3.848
_cell_length_c 8.027
_cell_angle_alpha 90.00
_cell_angle_beta 90.00
_cell_angle_gamma 90.00
loop_
_atom_site_label
_atom_site_type_symbol
_atom_site_fract_x
_atom_site_fract_y
_atom_site_fract_z
_atom_site_occupancy
Cr1 Cr 0.000 0.000 0.000 1
Cr2 Cr 0.000 0.500 0.250 1
Tc1 Tc 0.000 0.500 0.750 1
Te1 Te 0.000 0.000 0.500 1
```